# 1
First-principles (PBE) data for a relaxed structure of SmDyErPu, as listed in Alexandria via LeMat-Bulk.

Output
ΔH_f (0 K) ... 0.204 eV/atom
Total moment ... 6.59 μB/f.u.

```
data_SmDyErPu
_chemical_formula_sum 'Sm4 Dy4 Er4 Pu4'
_space_group_name_H-M_alt 'F -4 3 m'
_space_group_IT_number 216
_space_group_name_Hall 'F -4 2 3'
_cell_length_a 7.9221
_cell_length_b 7.9221
_cell_length_c 7.9221
_cell_angle_alpha 90.00
_cell_angle_beta 90.00
_cell_angle_gamma 90.00
loop_
_atom_site_label
_atom_site_type_symbol
_atom_site_fract_x
_atom_site_fract_y
_atom_site_fract_z
Sm1 Sm 0.0000 0.0000 0.0000
Dy1 Dy 0.2500 0.2500 0.7500
Er1 Er 0.2500 0.2500 0.2500
Pu1 Pu 0.0000 0.0000 0.5000
```

=====

# 2
First-principles (PBE) data for a relaxed structure of BaCaBe2H8, as listed in Alexandria via LeMat-Bulk.

Output
Final energy ... -3.57 eV per atom
Total moment ... 0.00 μB/f.u.

```
data_BaCaBe2H8
_chemical_formula_sum 'Ba1 Ca1 Be2 H8'
_space_group_name_H-M_alt 'P -3'
_space_group_IT_number 147
_cell_length_a 4.6778
_cell_length_b 4.6778
_cell_length_c 7.7529
_cell_angle_alpha 90.00
_cell_angle_beta 90.00
_cell_angle_gamma 120.00
loop_
_space_group_symop_operation_xyz
'x,y,z'
'-x,-y,-z'
'-y,x-y,z'
'y,-x+y,-z'
'-x+y,-x,z'
'x-y,x,-z'
loop_
_atom_site_label
_atom_site_type_symbol
_atom_site_fract_x
_atom_site_fract_y
_atom_site_fract_z
Ba1 Ba 0.0000 0.0000 0.0000
Ca1 Ca 0.0000 0.0000 0.5000
Be1 Be 0.3333 0.6667 0.7485
H1 H 0.0482 0.3660 0.6969
H2 H 0.3333 0.6667 0.9349
```

=====

Mass density in g cm⁻³, matching the order above: 9.67; 2.30